First-principles (PBE+U) data for an optimized crystal structure of SrMo2As2O12, as listed in Alexandria.

Unit cell a=6.6836 b=7.0448 c=10.7170 alpha=90.00 beta=91.29 gamma=90.00
Space group P2_1/c (No. 14)
Asymmetric unit:
Sr 0.0000 0.0000 0.0000
Mo 0.2483 0.0435 0.6646
As 0.2444 0.0461 0.3456
O 0.0499 0.6157 0.8419
O 0.2128 0.6797 0.0964
O 0.2264 0.1870 0.4750
O 0.2404 0.1523 0.2014
O 0.2504 0.5107 0.3229
O 0.4624 0.5859 0.8574

Values from the calculation:
- Crystal system: monoclinic
- Magnetic moment: 0.00 μB/cell
- DFT total energy: -6.60 eV/atom